Below is a relaxed structure of Ga5Pd, with properties calculated at the PBE level.

Lattice parameters (Å, degrees): 6.8449 6.8449 6.8449 123.53 123.53 83.98
With the nearest neighbours (Å) after each atom.
Positions (direct):
Ga (0.0000, 0.0000, 0.0000)  2 Pd 2.54
Ga (0.5000, 0.5000, 0.0000)  2 Pd 2.54
Ga (0.7847, 0.2847, 0.7912)  7 Ga 2.67-2.96, 2 Pd 2.73
Ga (0.2847, 0.4935, 0.5000)  7 Ga 2.67-2.96, 2 Pd 2.73
Ga (0.9935, 0.7847, 0.5000)  7 Ga 2.67-2.96, 2 Pd 2.73
Ga (0.7153, 0.5065, 0.5000)  7 Ga 2.67-2.96, 2 Pd 2.73
Ga (0.0065, 0.2153, 0.5000)  7 Ga 2.67-2.96, 2 Pd 2.73
Ga (0.5065, 0.0065, 0.7912)  7 Ga 2.67-2.96, 2 Pd 2.73
Ga (0.2153, 0.7153, 0.2088)  7 Ga 2.67-2.96, 2 Pd 2.73
Ga (0.4935, 0.9935, 0.2088)  7 Ga 2.67-2.96, 2 Pd 2.73
Pd (0.2500, 0.2500, 0.0000)  10 Ga 2.54-2.73
Pd (0.7500, 0.7500, 0.0000)  10 Ga 2.54-2.73

Output
Symmetry ... I4/mcm
E above lowest polymorph ... 0.000 eV per atom

---

Below is a relaxed structure of GaPd, with properties calculated at the PBE level.

Lattice parameters (Å, degrees): 6.9194 6.9194 6.9194 90.00 90.00 90.00
With the nearest neighbours (Å) after each atom.
Positions (direct):
Ga (0.2500, 0.5000, 0.0000)  4 Pd 2.45
Ga (0.7500, 0.5000, 0.0000)  4 Pd 2.45
Ga (0.5000, 0.0000, 0.2500)  4 Pd 2.45
Ga (0.5000, 0.0000, 0.7500)  4 Pd 2.45
Ga (0.0000, 0.2500, 0.5000)  4 Pd 2.45
Ga (0.0000, 0.7500, 0.5000)  4 Pd 2.45
Pd (0.2500, 0.0000, 0.5000)  4 Ga 2.45
Pd (0.7500, 0.0000, 0.5000)  4 Ga 2.45
Pd (0.0000, 0.5000, 0.2500)  4 Ga 2.45
Pd (0.0000, 0.5000, 0.7500)  4 Ga 2.45
Pd (0.5000, 0.2500, 0.0000)  4 Ga 2.45
Pd (0.5000, 0.7500, 0.0000)  4 Ga 2.45

Output
Symmetry ... Pm-3n

---

Below is a relaxed structure of Ga2Pd5, with properties calculated at the PBE level.

Lattice parameters (Å, degrees): 4.6116 7.3025 6.8007 97.07 109.82 90.00
With the nearest neighbours (Å) after each atom.
Positions (direct):
Ga (0.2073, 0.4033, 0.8204)  9 Pd 2.54-2.77
Ga (0.3869, 0.0967, 0.1796)  9 Pd 2.54-2.77
Ga (0.7927, 0.5967, 0.1796)  9 Pd 2.54-2.77
Ga (0.6131, 0.9033, 0.8204)  9 Pd 2.54-2.77
Pd (0.3103, 0.4457, 0.2363)  4 Ga 2.56-2.68, 1 Pd 2.78
Pd (0.0740, 0.0543, 0.7637)  4 Ga 2.56-2.68, 1 Pd 2.78
Pd (0.1070, 0.6823, 0.5671)  3 Ga 2.54-2.77, 5 Pd 2.69-2.78
Pd (0.5398, 0.8177, 0.4329)  3 Ga 2.54-2.77, 5 Pd 2.69-2.78
Pd (0.8930, 0.3177, 0.4329)  3 Ga 2.54-2.77, 5 Pd 2.69-2.78
Pd (0.4602, 0.1823, 0.5671)  3 Ga 2.54-2.77, 5 Pd 2.69-2.78
Pd (0.9260, 0.9457, 0.2363)  4 Ga 2.56-2.68, 1 Pd 2.78
Pd (0.6897, 0.5543, 0.7637)  4 Ga 2.56-2.68, 1 Pd 2.78
Pd (0.7270, 0.2500, 0.0000)  4 Ga 2.62-2.64, 6 Pd 2.76-2.89
Pd (0.2730, 0.7500, 0.0000)  4 Ga 2.62-2.64, 6 Pd 2.76-2.89

Output
Symmetry ... C2/c
E above lowest polymorph ... 0.057 eV per atom

---

Raw total energy values (in eV/atom) by entry order: -3.6336 -4.0873 -5.0751.
DOS at the Fermi energy values (in states/eV per atom) by entry order: 0.386 0.576 0.402.
Formation energy from the elements values (in eV per atom) by entry order: -0.25 0.02 -0.50.